1.
An optimized crystal structure of ReAg2Se, computed with PBE.

Cell and atoms, written as POSCAR:
```
ReAg2Se
1.0
4.461 0.000 0.000
0.000 2.775 0.009
0.000 1.372 5.674
Ag Re Se
2 1 1
Cartesian
0.000 2.600 0.065
2.231 1.210 1.435
0.000 2.594 2.956
2.231 2.590 4.077
```

Calculated values
The value obtained for the uncorrected formation energy is 0.5204 eV/atom. The density of states at the Fermi level is 2.752 states/eV per cell. Its magnetic moment is 0.001 μB per formula unit. As for the space group: Amm2, No. 38. For the electronic total energy, the calculation gives -19.554 eV/f.u. The crystal system is orthorhombic.

***

2.
An optimized crystal structure of PrDy6Y2Ho3, computed with PBE.

Cell and atoms, written as POSCAR:
```
PrDy6Y2Ho3
1.0
-0.162 -6.148 -0.277
4.205 2.809 3.511
-8.701 0.895 7.916
Pr Dy Y Ho
1 6 2 3
Cartesian
0.000 0.000 0.000
-4.203 -3.323 7.702
0.838 -2.282 4.431
-0.455 0.879 3.448
-2.747 -0.336 8.965
-5.496 -0.162 6.719
-1.911 -2.108 2.185
2.749 -0.177 2.248
1.294 -3.162 0.986
-0.875 1.760 6.836
-3.783 -4.204 4.314
-2.329 -1.222 5.575
```

Calculated values
The density of states at the Fermi level is 15.701 states/eV per cell. Its magnetic moment is 0.000 μB per formula unit. As for the energy of formation: 0.0187 eV/atom. As for the space group: C2/m, No. 12. For the electronic total energy, the calculation gives -58.829 eV/f.u. The crystal system is monoclinic.

***

3.
An optimized crystal structure of KCdNi, computed with PBE.

Cell and atoms, written as POSCAR:
```
KCdNi
1.0
-1.688 -2.386 3.890
1.362 -4.599 0.813
2.982 -1.035 3.702
Cd K Ni
1 1 1
Cartesian
0.000 0.000 0.000
1.328 -4.010 4.202
0.664 -2.005 2.101
```

Calculated values
The density of states at the Fermi level is 2.433 states/eV per cell. Its magnetic moment is 0.218 μB per formula unit. As for the energy of formation: 0.5518 eV/atom. As for the space group: F-43m, No. 216. For the electronic total energy, the calculation gives -6.139 eV/f.u. The crystal system is cubic.